(1)
# NiHgCl2 GGA-PBE optimized geometry
# - Space-group type: Cmm2, No. 35
# - Raw formation energy: -0.79 eV/f.u.
# - Energy relative to the lowest polymorph listed for this composition: 0.229 eV/atom
# - Volume: 107.9 Å³/cell
data_NiHgCl2
_symmetry_space_group_name_H-M 'P 1'
_symmetry_Int_Tables_number 1
_cell_length_a 4.063
_cell_length_b 4.063
_cell_length_c 8.761
_cell_angle_alpha 90.00
_cell_angle_beta 90.00
_cell_angle_gamma 131.73
loop_
_symmetry_equiv_pos_as_xyz
'x,y,z'
loop_
_atom_site_label
_atom_site_type_symbol
_atom_site_fract_x
_atom_site_fract_y
_atom_site_fract_z
Ni1 Ni 0.500 0.500 0.753
Hg1 Hg 0.000 0.000 0.530
Cl1 Cl 0.000 0.000 0.909
Cl2 Cl 0.500 0.500 0.308

---

(2)
# YTaPb2 GGA-PBE optimized geometry
# - Space-group type: I-42d, No. 122
# - Volume: 214.2 Å³/cell
# - Uncorrected energy: -6.13 eV per atom
data_YTaPb2
_symmetry_space_group_name_H-M 'P 1'
_symmetry_Int_Tables_number 1
_cell_length_a 8.122
_cell_length_b 8.122
_cell_length_c 6.597
_cell_angle_alpha 52.01
_cell_angle_beta 52.01
_cell_angle_gamma 90.00
loop_
_symmetry_equiv_pos_as_xyz
'x,y,z'
loop_
_atom_site_label
_atom_site_type_symbol
_atom_site_fract_x
_atom_site_fract_y
_atom_site_fract_z
Pb1 Pb 0.647 0.125 0.250
Pb2 Pb 0.103 0.625 0.250
Pb3 Pb 0.375 0.353 0.750
Pb4 Pb 0.875 0.897 0.750
Y1 Y 0.500 0.500 0.000
Y2 Y 0.250 0.750 0.500
Ta1 Ta 0.000 0.000 0.000
Ta2 Ta 0.750 0.250 0.500

---

(3)
# RbBCl3 GGA-PBE optimized geometry
# - Space-group type: Pm-3m, No. 221
# - Raw formation energy: -2.48 eV/f.u.
# - Energy relative to the lowest polymorph listed for this composition: 0.821 eV/atom
# - Volume: 104.9 Å³/cell
data_RbBCl3
_symmetry_space_group_name_H-M 'P 1'
_symmetry_Int_Tables_number 1
_cell_length_a 4.717
_cell_length_b 4.717
_cell_length_c 4.717
_cell_angle_alpha 90.00
_cell_angle_beta 90.00
_cell_angle_gamma 90.00
loop_
_symmetry_equiv_pos_as_xyz
'x,y,z'
loop_
_atom_site_label
_atom_site_type_symbol
_atom_site_fract_x
_atom_site_fract_y
_atom_site_fract_z
B1 B 0.000 0.000 0.000
Rb1 Rb 0.500 0.500 0.500
Cl1 Cl 0.000 0.500 0.000
Cl2 Cl 0.000 0.000 0.500
Cl3 Cl 0.500 0.000 0.000

---

(4)
# LiTc2Os GGA-PBE optimized geometry
# - Space-group type: C2/m, No. 12
# - Energy relative to the lowest polymorph listed for this composition: 0.137 eV/atom
# - Volume: 56.0 Å³/cell
data_LiTc2Os
_symmetry_space_group_name_H-M 'P 1'
_symmetry_Int_Tables_number 1
_cell_length_a 4.948
_cell_length_b 4.948
_cell_length_c 2.653
_cell_angle_alpha 82.68
_cell_angle_beta 82.68
_cell_angle_gamma 117.23
loop_
_symmetry_equiv_pos_as_xyz
'x,y,z'
loop_
_atom_site_label
_atom_site_type_symbol
_atom_site_fract_x
_atom_site_fract_y
_atom_site_fract_z
Li1 Li 0.500 0.000 0.500
Os1 Os 0.000 0.500 0.500
Tc1 Tc 0.000 0.000 0.000
Tc2 Tc 0.500 0.500 0.000

---

(5)
# Ac2NdBi2O2 GGA-PBE optimized geometry
# - Space-group type: I4/mmm, No. 139
# - Raw formation energy: -12.65 eV/f.u.
# - Volume: 189.5 Å³/cell
data_Ac2NdBi2O2
_symmetry_space_group_name_H-M 'P 1'
_symmetry_Int_Tables_number 1
_cell_length_a 4.657
_cell_length_b 4.657
_cell_length_c 9.336
_cell_angle_alpha 104.44
_cell_angle_beta 104.44
_cell_angle_gamma 90.00
loop_
_symmetry_equiv_pos_as_xyz
'x,y,z'
loop_
_atom_site_label
_atom_site_type_symbol
_atom_site_fract_x
_atom_site_fract_y
_atom_site_fract_z
Ac1 Ac 0.387 0.387 0.774
Ac2 Ac 0.613 0.613 0.226
Nd1 Nd 0.000 0.000 0.000
Bi1 Bi 0.189 0.189 0.379
Bi2 Bi 0.811 0.811 0.621
O1 O 0.000 0.500 0.000
O2 O 0.500 0.000 0.000

---

(6)
# KPu2Te3 GGA-PBE optimized geometry
# - Space-group type: P6_3/mmc, No. 194
# - Raw formation energy: -6.71 eV/f.u.
# - Volume: 421.0 Å³/cell
data_KPu2Te3
_symmetry_space_group_name_H-M 'P 1'
_symmetry_Int_Tables_number 1
_cell_length_a 4.520
_cell_length_b 4.520
_cell_length_c 23.794
_cell_angle_alpha 90.00
_cell_angle_beta 90.00
_cell_angle_gamma 120.00
loop_
_symmetry_equiv_pos_as_xyz
'x,y,z'
loop_
_atom_site_label
_atom_site_type_symbol
_atom_site_fract_x
_atom_site_fract_y
_atom_site_fract_z
K1 K 0.000 0.000 0.250
K2 K 0.000 0.000 0.750
Pu1 Pu 0.333 0.667 0.922
Pu2 Pu 0.667 0.333 0.078
Pu3 Pu 0.667 0.333 0.422
Pu4 Pu 0.333 0.667 0.578
Te1 Te 0.000 0.000 0.000
Te2 Te 0.333 0.667 0.149
Te3 Te 0.333 0.667 0.351
Te4 Te 0.000 0.000 0.500
Te5 Te 0.667 0.333 0.649
Te6 Te 0.667 0.333 0.851

---

(7)
# LiAgBr2 GGA-PBE optimized geometry
# - Space-group type: I-42d, No. 122
# - Raw formation energy: -3.77 eV/f.u.
# - Energy relative to the lowest polymorph listed for this composition: 0.000 eV/atom
# - Volume: 226.3 Å³/cell
data_LiAgBr2
_symmetry_space_group_name_H-M 'P 1'
_symmetry_Int_Tables_number 1
_cell_length_a 6.118
_cell_length_b 6.118
_cell_length_c 7.434
_cell_angle_alpha 65.70
_cell_angle_beta 65.70
_cell_angle_gamma 90.00
loop_
_symmetry_equiv_pos_as_xyz
'x,y,z'
loop_
_atom_site_label
_atom_site_type_symbol
_atom_site_fract_x
_atom_site_fract_y
_atom_site_fract_z
Br1 Br 0.600 0.125 0.250
Br2 Br 0.150 0.625 0.250
Br3 Br 0.375 0.400 0.750
Br4 Br 0.875 0.850 0.750
Ag1 Ag 0.000 0.000 0.000
Ag2 Ag 0.750 0.250 0.500
Li1 Li 0.500 0.500 0.000
Li2 Li 0.250 0.750 0.500

---

(8)
# CsCd2F6 GGA-PBE optimized geometry
# - Space-group type: P-31m, No. 162
# - Raw formation energy: -18.74 eV/f.u.
# - Volume: 198.2 Å³/cell
data_CsCd2F6
_symmetry_space_group_name_H-M 'P 1'
_symmetry_Int_Tables_number 1
_cell_length_a 6.317
_cell_length_b 6.020
_cell_length_c 6.020
_cell_angle_alpha 120.00
_cell_angle_beta 90.00
_cell_angle_gamma 90.00
loop_
_symmetry_equiv_pos_as_xyz
'x,y,z'
loop_
_atom_site_label
_atom_site_type_symbol
_atom_site_fract_x
_atom_site_fract_y
_atom_site_fract_z
Cs1 Cs 0.000 0.000 0.000
Cd1 Cd 0.500 0.667 0.333
Cd2 Cd 0.500 0.333 0.667
F1 F 0.692 0.612 0.612
F2 F 0.308 0.612 0.000
F3 F 0.308 0.000 0.612
F4 F 0.692 0.388 0.000
F5 F 0.308 0.388 0.388
F6 F 0.692 0.000 0.388

---

(9)
# La2ThTl GGA-PBE optimized geometry
# - Space-group type: P4/mmm, No. 123
# - Energy relative to the lowest polymorph listed for this composition: 0.045 eV/atom
# - Volume: 126.7 Å³/cell
data_La2ThTl
_symmetry_space_group_name_H-M 'P 1'
_symmetry_Int_Tables_number 1
_cell_length_a 5.039
_cell_length_b 5.015
_cell_length_c 5.015
_cell_angle_alpha 90.00
_cell_angle_beta 90.00
_cell_angle_gamma 90.00
loop_
_symmetry_equiv_pos_as_xyz
'x,y,z'
loop_
_atom_site_label
_atom_site_type_symbol
_atom_site_fract_x
_atom_site_fract_y
_atom_site_fract_z
Tl1 Tl 0.500 0.000 0.000
Th1 Th 0.500 0.500 0.500
La1 La 0.000 0.000 0.500
La2 La 0.000 0.500 0.000

---

(10)
# Y2AlTc GGA-PBE optimized geometry
# - Space-group type: P4mm, No. 99
# - Volume: 92.6 Å³/cell
# - Uncorrected energy: -6.93 eV per atom
data_Y2AlTc
_symmetry_space_group_name_H-M 'P 1'
_symmetry_Int_Tables_number 1
_cell_length_a 3.457
_cell_length_b 3.457
_cell_length_c 7.752
_cell_angle_alpha 90.00
_cell_angle_beta 90.00
_cell_angle_gamma 90.00
loop_
_symmetry_equiv_pos_as_xyz
'x,y,z'
loop_
_atom_site_label
_atom_site_type_symbol
_atom_site_fract_x
_atom_site_fract_y
_atom_site_fract_z
Y1 Y 0.000 0.000 0.938
Y2 Y 0.500 0.500 0.318
Tc1 Tc 0.500 0.500 0.683
Al1 Al 0.000 0.000 0.561

---

(11)
# Sr2PaH4 GGA-PBE optimized geometry
# - Space-group type: I4/mmm, No. 139
# - Volume: 125.7 Å³/cell
# - Uncorrected energy: -3.85 eV per atom
data_Sr2PaH4
_symmetry_space_group_name_H-M 'P 1'
_symmetry_Int_Tables_number 1
_cell_length_a 4.259
_cell_length_b 4.259
_cell_length_c 7.554
_cell_angle_alpha 73.62
_cell_angle_beta 73.62
_cell_angle_gamma 90.00
loop_
_symmetry_equiv_pos_as_xyz
'x,y,z'
loop_
_atom_site_label
_atom_site_type_symbol
_atom_site_fract_x
_atom_site_fract_y
_atom_site_fract_z
Sr1 Sr 0.347 0.347 0.307
Sr2 Sr 0.653 0.653 0.693
Pa1 Pa 0.000 0.000 0.000
H1 H 0.164 0.164 0.671
H2 H 0.836 0.836 0.329
H3 H 0.000 0.500 0.000
H4 H 0.500 0.000 0.000

---

(12)
# KMg2Te GGA-PBE optimized geometry
# - Space-group type: Imm2, No. 44
# - Raw formation energy: -0.75 eV/f.u.
# - Volume: 135.5 Å³/cell
data_KMg2Te
_symmetry_space_group_name_H-M 'P 1'
_symmetry_Int_Tables_number 1
_cell_length_a 6.241
_cell_length_b 6.241
_cell_length_c 6.241
_cell_angle_alpha 138.46
_cell_angle_beta 120.54
_cell_angle_gamma 75.13
loop_
_symmetry_equiv_pos_as_xyz
'x,y,z'
loop_
_atom_site_label
_atom_site_type_symbol
_atom_site_fract_x
_atom_site_fract_y
_atom_site_fract_z
K1 K 0.267 0.767 0.500
Mg1 Mg 0.961 0.961 0.000
Mg2 Mg 0.727 0.227 0.500
Te1 Te 0.545 0.545 0.000